(one)
Below is a relaxed CaLa3Os crystal, with properties calculated at the PBE-GGA level.

CIF file:
```
data_CaLa3Os
_cell_length_a 5.721
_cell_length_b 5.721
_cell_length_c 5.721
_cell_angle_alpha 90.00
_cell_angle_beta 90.00
_cell_angle_gamma 90.00
_space_group_name_H-M_alt 'P 1'
_space_group_IT_number 1
loop_
_space_group_symop_operation_xyz
'x,y,z'
loop_
_atom_site_label
_atom_site_fract_x
_atom_site_fract_y
_atom_site_fract_z
Ca1 0.500 0.500 0.500
Os1 0.000 0.000 0.000
La1 0.000 0.500 0.000
La2 0.000 0.000 0.500
La3 0.500 0.000 0.000
```

Summary:
SG = Pm-3m
calculated density = 5.7 g/cm³

***

(two)
Below is a relaxed CaLa3Os crystal, with properties calculated at the PBE-GGA level.

CIF file:
```
data_CaLa3Os
_cell_length_a 10.721
_cell_length_b 10.721
_cell_length_c 10.721
_cell_angle_alpha 60.00
_cell_angle_beta 60.00
_cell_angle_gamma 60.00
_space_group_name_H-M_alt 'P 1'
_space_group_IT_number 1
loop_
_space_group_symop_operation_xyz
'x,y,z'
loop_
_atom_site_label
_atom_site_fract_x
_atom_site_fract_y
_atom_site_fract_z
Ca1 0.125 0.125 0.125
Ca2 0.125 0.625 0.125
Ca3 0.625 0.125 0.125
Ca4 0.125 0.125 0.625
Os1 0.625 0.625 0.625
Os2 0.625 0.125 0.625
Os3 0.125 0.625 0.625
Os4 0.625 0.625 0.125
La1 0.687 0.313 0.313
La2 0.937 0.563 0.563
La3 0.563 0.563 0.937
La4 0.563 0.937 0.937
La5 0.937 0.563 0.937
La6 0.687 0.313 0.687
La7 0.563 0.937 0.563
La8 0.937 0.937 0.563
La9 0.313 0.687 0.313
La10 0.313 0.687 0.687
La11 0.313 0.313 0.687
La12 0.687 0.687 0.313
```

Summary:
SG = Fd-3m
calculated density = 4.9 g/cm³

***

(three)
Below is a relaxed CaLa3Os crystal, with properties calculated at the PBE-GGA level.

CIF file:
```
data_CaLa3Os
_cell_length_a 24.312
_cell_length_b 7.146
_cell_length_c 9.621
_cell_angle_alpha 90.00
_cell_angle_beta 155.10
_cell_angle_gamma 90.00
_space_group_name_H-M_alt 'P 1'
_space_group_IT_number 1
loop_
_space_group_symop_operation_xyz
'x,y,z'
loop_
_atom_site_label
_atom_site_fract_x
_atom_site_fract_y
_atom_site_fract_z
Ca1 0.438 0.654 0.491
Ca2 0.562 0.346 0.509
Ca3 0.062 0.154 0.009
Ca4 0.938 0.846 0.991
Os1 0.112 0.078 0.574
Os2 0.888 0.922 0.426
Os3 0.388 0.578 0.926
Os4 0.612 0.422 0.074
La1 0.321 0.919 0.895
La2 0.679 0.081 0.105
La3 0.179 0.419 0.605
La4 0.821 0.581 0.395
La5 0.299 0.166 0.213
La6 0.701 0.834 0.787
La7 0.201 0.666 0.287
La8 0.799 0.334 0.713
La9 0.563 0.740 0.136
La10 0.437 0.260 0.864
La11 0.937 0.240 0.364
La12 0.063 0.760 0.636
```

Summary:
SG = P2_1/c
calculated density = 6.1 g/cm³

***

(four)
Below is a relaxed CaLa3Os crystal, with properties calculated at the PBE-GGA level.

CIF file:
```
data_CaLa3Os
_cell_length_a 8.066
_cell_length_b 8.066
_cell_length_c 6.519
_cell_angle_alpha 90.00
_cell_angle_beta 90.00
_cell_angle_gamma 130.16
_space_group_name_H-M_alt 'P 1'
_space_group_IT_number 1
loop_
_space_group_symop_operation_xyz
'x,y,z'
loop_
_atom_site_label
_atom_site_fract_x
_atom_site_fract_y
_atom_site_fract_z
Ca1 0.573 0.427 0.250
Ca2 0.427 0.573 0.750
Os1 0.161 0.839 0.250
Os2 0.839 0.161 0.750
La1 0.562 0.955 0.250
La2 0.045 0.438 0.250
La3 0.955 0.562 0.750
La4 0.438 0.045 0.750
La5 0.000 0.000 0.000
La6 0.000 0.000 0.500
```

Summary:
SG = Cmcm
calculated density = 6.6 g/cm³

***

Which of them is the most stable? Correct choice: (one).